Arrangement A

Mg2SnSb2 | PBE-GGA | relaxed

Calculated values
Crystal system: tetragonal
SG: P4/mbm

Structure (POSCAR):
```
Mg2SnSb2
1.0
8.7091 0.0000 0.0000
0.0000 8.7091 0.0000
0.0000 0.0000 3.4223
Mg Sn Sb
4 2 4
Cartesian
1.1620 3.1926 0.0000
3.1926 7.5471 0.0000
5.5165 1.1620 0.0000
7.5471 5.5165 0.0000
0.0000 0.0000 1.7112
4.3545 4.3545 1.7112
1.4398 5.7944 1.7112
2.9147 1.4398 1.7112
5.7944 7.2693 1.7112
7.2693 2.9147 1.7112
```

***

Arrangement B

Mg2SnSb2 | PBE-GGA | relaxed

Calculated values
Crystal system: tetragonal
SG: I4/mmm

Structure (POSCAR):
```
Mg2SnSb2
1.0
-2.2346 2.2346 7.0204
2.2346 -2.2346 7.0204
2.2346 2.2346 -7.0204
Mg Sn Sb
2 1 2
Cartesian
2.2346 0.0000 3.5102
0.0000 2.2346 3.5102
0.0000 0.0000 0.0000
0.0000 0.0000 5.3759
0.0000 0.0000 8.6650
```

***

Stability comparison, relative energies in meV per atom: arrangement A 0; arrangement B 73